SeBrN2F: relaxed, PBE-GGA.

The structure in extended XYZ format:
```
5
Lattice="4.176 0.000 0.000 0.000 4.176 0.000 0.000 0.000 4.073" Properties=species:S:1:pos:R:3 pbc="T T T"
N 0.000 2.088 0.000
F 0.000 0.000 2.037
Se 2.088 2.088 2.037
Br 0.000 0.000 0.000
N 2.088 0.000 0.000
```

Space group = P4/mmm
DFT total energy = -14.2 eV/cell
ρ = 4.81 g/cm³
Energy relative to the elements, uncorrected = 183 kJ/mol of atoms
Calculated volume = 71.0 Å³/cell
Energy above the most stable polymorph in this dataset = 523 meV/atom

---

Se2BrNF: relaxed, PBE-GGA.

The structure in extended XYZ format:
```
5
Lattice="5.443 0.000 0.000 0.000 5.443 0.000 0.000 0.000 3.781" Properties=species:S:1:pos:R:3 pbc="T T T"
Br 0.000 0.000 0.000
F 2.721 2.721 1.890
N 0.000 0.000 1.890
Se 2.721 0.000 0.000
Se 0.000 2.721 0.000
```

Space group = P4/mmm
DFT total energy = -11.3 eV/cell
ρ = 4.02 g/cm³
Energy relative to the elements, uncorrected = 145 kJ/mol of atoms
Calculated volume = 112.0 Å³/cell
Energy above the most stable polymorph in this dataset = 629 meV/atom

---

Se2BrNF: relaxed, PBE-GGA.

The structure in extended XYZ format:
```
5
Lattice="-1.349 4.033 0.367 0.209 -0.317 4.251 4.569 1.538 -0.110" Properties=species:S:1:pos:R:3 pbc="T T T"
Se 0.104 -0.158 2.126
F 1.714 2.627 2.254
Br 2.284 0.769 -0.055
N 0.000 0.000 0.000
Se -0.674 2.016 0.183
```

Space group = P4/mmm
DFT total energy = -14.5 eV/cell
ρ = 5.12 g/cm³
Energy relative to the elements, uncorrected = 84 kJ/mol of atoms
Calculated volume = 87.8 Å³/cell
Energy above the most stable polymorph in this dataset = 0 meV/atom

---

SeBrN2F: relaxed, PBE-GGA.

The structure in extended XYZ format:
```
5
Lattice="4.046 0.000 0.000 0.000 4.046 0.000 0.000 0.000 4.117" Properties=species:S:1:pos:R:3 pbc="T T T"
N 0.000 2.023 0.000
Br 2.023 2.023 2.059
F 0.000 0.000 2.059
Se 0.000 0.000 0.000
N 2.023 0.000 0.000
```

Space group = P4/mmm
DFT total energy = -16.8 eV/cell
ρ = 5.07 g/cm³
Energy relative to the elements, uncorrected = 133 kJ/mol of atoms
Calculated volume = 67.4 Å³/cell
Energy above the most stable polymorph in this dataset = 0 meV/atom

---

SeBrN2F: relaxed, PBE-GGA.

The structure in extended XYZ format:
```
5
Lattice="-0.702 -3.639 -0.292 1.280 0.033 -3.490 6.347 -1.409 2.315" Properties=species:S:1:pos:R:3 pbc="T T T"
N 0.640 0.016 -1.745
F 3.463 -2.508 -0.734
N -0.351 -1.820 -0.146
Se 3.173 -0.705 1.157
Br 0.000 0.000 0.000
```

Space group = P4/mmm
DFT total energy = -13.5 eV/cell
ρ = 3.58 g/cm³
Energy relative to the elements, uncorrected = 196 kJ/mol of atoms
Calculated volume = 95.4 Å³/cell
Energy above the most stable polymorph in this dataset = 653 meV/atom

---

Se2BrNF: relaxed, PBE-GGA.

The structure in extended XYZ format:
```
5
Lattice="-1.293 2.961 -2.844 -4.000 -1.581 0.173 -1.490 4.335 5.191" Properties=species:S:1:pos:R:3 pbc="T T T"
F 0.000 0.000 0.000
Se -0.647 1.480 -1.422
Br -0.745 2.167 2.595
N -3.391 2.857 1.260
Se -2.000 -0.790 0.086
```

Space group = P4/mmm
DFT total energy = -11.9 eV/cell
ρ = 3.51 g/cm³
Energy relative to the elements, uncorrected = 134 kJ/mol of atoms
Calculated volume = 128.3 Å³/cell
Energy above the most stable polymorph in this dataset = 513 meV/atom

---

SiBrNF2: relaxed, PBE-GGA.

The structure in extended XYZ format:
```
5
Lattice="3.812 0.000 0.000 0.000 3.812 0.000 0.000 0.000 3.789" Properties=species:S:1:pos:R:3 pbc="T T T"
Si 0.000 0.000 0.000
F 1.906 0.000 0.000
N 0.000 0.000 1.894
Br 1.906 1.906 1.894
F 0.000 1.906 0.000
```

Space group = P4/mmm
DFT total energy = -21.9 eV/cell
ρ = 4.82 g/cm³
Energy relative to the elements, uncorrected = -53 kJ/mol of atoms
Calculated volume = 55.1 Å³/cell
Energy above the most stable polymorph in this dataset = 0 meV/atom

---

SiBrNF2: relaxed, PBE-GGA.

The structure in extended XYZ format:
```
5
Lattice="-2.038 -1.469 4.172 2.779 -3.999 -0.051 2.567 1.760 1.873" Properties=species:S:1:pos:R:3 pbc="T T T"
N 1.283 0.880 0.937
Br 0.000 0.000 0.000
Si 1.654 -1.854 2.997
F -1.019 -0.735 2.086
F 1.389 -2.000 -0.025
```

Space group = P4/mmm
DFT total energy = -15.3 eV/cell
ρ = 3.08 g/cm³
Energy relative to the elements, uncorrected = 74 kJ/mol of atoms
Calculated volume = 86.1 Å³/cell
Energy above the most stable polymorph in this dataset = 1317 meV/atom

---

SrBrNF2: relaxed, PBE-GGA.

The structure in extended XYZ format:
```
5
Lattice="-3.791 0.160 2.627 -2.145 -2.856 -2.922 2.064 -4.903 3.277" Properties=species:S:1:pos:R:3 pbc="T T T"
Sr 0.000 0.000 0.000
Br -1.936 -3.800 1.491
F -1.896 0.080 1.314
N 1.032 -2.451 1.638
F -1.073 -1.428 -1.461
```

Space group = P4/mmm
DFT total energy = -19.7 eV/cell
ρ = 2.74 g/cm³
Energy relative to the elements, uncorrected = -83 kJ/mol of atoms
Calculated volume = 133.1 Å³/cell
Energy above the most stable polymorph in this dataset = 0 meV/atom

---

SrBrN2F: relaxed, PBE-GGA.

The structure in extended XYZ format:
```
5
Lattice="-2.256 -0.798 3.116 0.489 -3.847 -0.631 4.092 0.033 2.972" Properties=species:S:1:pos:R:3 pbc="T T T"
N 0.245 -1.923 -0.316
N -1.128 -0.399 1.558
Br 0.000 0.000 0.000
Sr 1.163 -2.306 2.728
F 2.046 0.016 1.486
```

Space group = P4/mmm
DFT total energy = -20.3 eV/cell
ρ = 4.56 g/cm³
Energy relative to the elements, uncorrected = 31 kJ/mol of atoms
Calculated volume = 78.1 Å³/cell
Energy above the most stable polymorph in this dataset = 0 meV/atom

---

SrBrNF2: relaxed, PBE-GGA.

The structure in extended XYZ format:
```
5
Lattice="-1.547 1.456 -4.419 2.352 -3.774 -2.067 -3.131 -2.161 0.384" Properties=species:S:1:pos:R:3 pbc="T T T"
F 1.176 -1.887 -1.033
Sr -1.163 -2.239 -3.051
Br 0.000 0.000 0.000
N -1.565 -1.081 0.192
F -0.773 0.728 -2.210
```

Space group = P4/mmm
DFT total energy = -19.3 eV/cell
ρ = 3.97 g/cm³
Energy relative to the elements, uncorrected = -75 kJ/mol of atoms
Calculated volume = 91.9 Å³/cell
Energy above the most stable polymorph in this dataset = 82 meV/atom

---

SrBrN2F: relaxed, PBE-GGA.

The structure in extended XYZ format:
```
5
Lattice="5.469 0.000 0.000 0.000 5.469 0.000 0.000 0.000 4.507" Properties=species:S:1:pos:R:3 pbc="T T T"
Sr 0.000 0.000 0.000
F 0.000 0.000 2.254
Br 2.734 2.734 2.254
N 0.000 2.734 0.000
N 2.734 0.000 0.000
```

Space group = P4/mmm
DFT total energy = -19.2 eV/cell
ρ = 2.64 g/cm³
Energy relative to the elements, uncorrected = 52 kJ/mol of atoms
Calculated volume = 134.8 Å³/cell
Energy above the most stable polymorph in this dataset = 219 meV/atom

---

TaBrN2F: relaxed, PBE-GGA.

The structure in extended XYZ format:
```
5
Lattice="-3.760 -1.516 0.971 1.685 -3.755 0.661 0.592 0.923 3.735" Properties=species:S:1:pos:R:3 pbc="T T T"
N 0.842 -1.878 0.331
F 0.296 0.462 1.867
Ta -0.742 -2.174 2.683
Br 0.000 0.000 0.000
N -1.880 -0.758 0.485
```

Space group = P4/mmm
DFT total energy = -22.8 eV/cell
ρ = 7.56 g/cm³
Energy relative to the elements, uncorrected = 178 kJ/mol of atoms
Calculated volume = 67.6 Å³/cell
Energy above the most stable polymorph in this dataset = 2044 meV/atom

---

TaBrN2F: relaxed, PBE-GGA.

The structure in extended XYZ format:
```
5
Lattice="-3.758 1.527 0.776 -1.434 -3.828 0.588 0.934 0.265 4.005" Properties=species:S:1:pos:R:3 pbc="T T T"
Ta 0.000 0.000 0.000
N -1.879 0.764 0.388
F 0.467 0.133 2.003
N -0.717 -1.914 0.294
Br -2.129 -1.018 2.685
```

Space group = P4/mmm
DFT total energy = -33.0 eV/cell
ρ = 7.27 g/cm³
Energy relative to the elements, uncorrected = -19 kJ/mol of atoms
Calculated volume = 70.3 Å³/cell
Energy above the most stable polymorph in this dataset = 0 meV/atom

---

TcBrN2F: relaxed, PBE-GGA.

The structure in extended XYZ format:
```
5
Lattice="-0.483 -3.670 -1.707 1.305 -1.769 3.433 -3.965 -0.144 1.433" Properties=species:S:1:pos:R:3 pbc="T T T"
Tc -1.572 -2.792 1.579
N -0.242 -1.835 -0.854
F -1.982 -0.072 0.716
Br 0.000 0.000 0.000
N 0.652 -0.884 1.717
```

Space group = P4/mmm
DFT total energy = -20.5 eV/cell
ρ = 5.33 g/cm³
Energy relative to the elements, uncorrected = 194 kJ/mol of atoms
Calculated volume = 70.1 Å³/cell
Energy above the most stable polymorph in this dataset = 1612 meV/atom

---

TcBrN2F: relaxed, PBE-GGA.

The structure in extended XYZ format:
```
5
Lattice="-0.605 -3.800 -0.840 -0.192 -0.820 3.847 -4.129 0.671 -0.063" Properties=species:S:1:pos:R:3 pbc="T T T"
N -0.302 -1.900 -0.420
Tc 0.000 0.000 0.000
F -2.064 0.335 -0.032
N -0.096 -0.410 1.924
Br -2.463 -1.975 1.472
```

Space group = P4/mmm
DFT total energy = -28.6 eV/cell
ρ = 5.76 g/cm³
Energy relative to the elements, uncorrected = 39 kJ/mol of atoms
Calculated volume = 64.9 Å³/cell
Energy above the most stable polymorph in this dataset = 0 meV/atom

---

Te2BrNF: relaxed, PBE-GGA.

The structure in extended XYZ format:
```
5
Lattice="5.032 0.000 0.000 0.000 5.032 0.000 0.000 0.000 4.058" Properties=species:S:1:pos:R:3 pbc="T T T"
Br 2.516 2.516 2.029
N 0.000 0.000 2.029
F 0.000 0.000 0.000
Te 0.000 2.516 0.000
Te 2.516 0.000 0.000
```

Space group = P4/mmm
DFT total energy = -12.1 eV/cell
ρ = 5.95 g/cm³
Energy relative to the elements, uncorrected = 117 kJ/mol of atoms
Calculated volume = 102.8 Å³/cell
Energy above the most stable polymorph in this dataset = 0 meV/atom

---

Te2BrNF: relaxed, PBE-GGA.

The structure in extended XYZ format:
```
5
Lattice="5.755 0.000 0.000 0.000 5.755 0.000 0.000 0.000 3.663" Properties=species:S:1:pos:R:3 pbc="T T T"
Te 2.878 0.000 0.000
N 0.000 0.000 1.832
Br 0.000 0.000 0.000
Te 0.000 2.878 0.000
F 2.878 2.878 1.832
```

Space group = P4/mmm
DFT total energy = -11.8 eV/cell
ρ = 5.04 g/cm³
Energy relative to the elements, uncorrected = 123 kJ/mol of atoms
Calculated volume = 121.3 Å³/cell
Energy above the most stable polymorph in this dataset = 55 meV/atom

---

TiBrN2F: relaxed, PBE-GGA.

The structure in extended XYZ format:
```
5
Lattice="-3.287 1.241 2.040 -1.893 -3.471 -0.937 1.454 -1.705 3.381" Properties=species:S:1:pos:R:3 pbc="T T T"
F 0.727 -0.853 1.690
N -0.946 -1.736 -0.468
Br 0.000 0.000 0.000
N -1.644 0.621 1.020
Ti -1.863 -1.968 2.242
```

Space group = P4/mmm
DFT total energy = -21.2 eV/cell
ρ = 4.33 g/cm³
Energy relative to the elements, uncorrected = 133 kJ/mol of atoms
Calculated volume = 67.0 Å³/cell
Energy above the most stable polymorph in this dataset = 1471 meV/atom

---

TiBrN2F: relaxed, PBE-GGA.

The structure in extended XYZ format:
```
5
Lattice="4.085 0.000 0.000 0.000 4.085 0.000 0.000 0.000 3.897" Properties=species:S:1:pos:R:3 pbc="T T T"
Br 2.042 2.042 1.948
F 0.000 0.000 1.948
N 0.000 2.042 0.000
Ti 0.000 0.000 0.000
N 2.042 0.000 0.000
```

Space group = P4/mmm
DFT total energy = -28.5 eV/cell
ρ = 4.46 g/cm³
Energy relative to the elements, uncorrected = -9 kJ/mol of atoms
Calculated volume = 65.0 Å³/cell
Energy above the most stable polymorph in this dataset = 0 meV/atom

---

TlBrNF2: relaxed, PBE-GGA.

The structure in extended XYZ format:
```
5
Lattice="4.933 0.000 0.000 0.000 4.933 0.000 0.000 0.000 3.737" Properties=species:S:1:pos:R:3 pbc="T T T"
F 0.000 2.467 0.000
Br 0.000 0.000 0.000
Tl 2.467 2.467 1.869
N 0.000 0.000 1.869
F 2.467 0.000 0.000
```

Space group = P4/mmm
DFT total energy = -16.1 eV/cell
ρ = 6.14 g/cm³
Energy relative to the elements, uncorrected = -1 kJ/mol of atoms
Calculated volume = 91.0 Å³/cell
Energy above the most stable polymorph in this dataset = 0 meV/atom

---

TlBrNF2: relaxed, PBE-GGA.

The structure in extended XYZ format:
```
5
Lattice="4.379 0.000 0.000 0.000 4.379 0.000 0.000 0.000 4.771" Properties=species:S:1:pos:R:3 pbc="T T T"
Tl 0.000 0.000 0.000
N 0.000 0.000 2.386
F 2.190 0.000 0.000
Br 2.190 2.190 2.386
F 0.000 2.190 0.000
```

Space group = P4/mmm
DFT total energy = -15.8 eV/cell
ρ = 6.10 g/cm³
Energy relative to the elements, uncorrected = 6 kJ/mol of atoms
Calculated volume = 91.5 Å³/cell
Energy above the most stable polymorph in this dataset = 69 meV/atom